[1]
GGA-PBE Pr3SmCd, relaxed; distance to the lowest polymorph of the same formula = 70 meV per atom; E_form = -0.2 eV per formula unit; volume = 655 Å³/cell; total magnetic moment = 0.00 Bohr magnetons per cell
1.0
-1.187 -1.596 -6.194
0.929 -9.297 4.121
-9.453 -0.465 3.835
Pr Sm Cd
12 4 4
Direct
0.881 0.006 0.628
0.009 0.336 0.462
0.509 0.462 0.336
0.491 0.538 0.664
0.381 0.628 0.006
0.874 0.736 0.867
0.626 0.133 0.264
0.126 0.264 0.133
0.619 0.372 0.994
0.119 0.994 0.372
0.374 0.867 0.736
0.991 0.664 0.538
0.504 0.796 0.393
0.496 0.204 0.607
0.004 0.393 0.796
0.996 0.607 0.204
0.750 0.875 0.125
0.250 0.125 0.875
0.750 0.092 0.908
0.250 0.908 0.092

[2]
GGA-PBE Pr2SmCd8, relaxed; E_form = -3.0 eV per formula unit; volume = 284 Å³/cell; total magnetic moment = 0.00 Bohr magnetons per cell
1.0
-4.208 -0.125 3.346
3.049 -4.503 3.645
3.923 8.159 0.928
Cd Pr Sm
8 2 1
Direct
0.123 0.351 0.249
0.252 0.498 0.000
0.748 0.502 0.000
0.874 0.102 0.751
0.877 0.649 0.751
0.301 0.801 0.603
0.699 0.199 0.397
0.126 0.898 0.249
0.692 0.692 0.383
0.308 0.308 0.617
0.500 0.000 0.000

[3]
GGA-PBE PrSm5Cd6, relaxed; E_form = -3.8 eV per formula unit; volume = 336 Å³/cell; total magnetic moment = 2.44 Bohr magnetons per cell
1.0
-1.114 0.969 -5.185
-7.397 -1.731 1.266
-2.068 8.236 -0.819
Pr Cd Sm
1 6 5
Direct
0.000 0.000 0.000
0.831 0.747 0.337
0.500 0.254 0.000
0.500 0.746 0.000
0.169 0.253 0.663
0.831 0.253 0.337
0.169 0.747 0.663
0.666 0.500 0.669
0.667 0.000 0.666
0.000 0.500 0.000
0.334 0.500 0.331
0.333 0.000 0.334

[4]
GGA-PBE Pr7SmCd2, relaxed; E_form = 3.6 eV per formula unit; volume = 407 Å³/cell; total magnetic moment = 0.00 Bohr magnetons per cell
1.0
5.438 0.000 0.000
0.000 9.335 -0.387
0.000 -4.466 8.206
Pr Sm Cd
7 1 2
Direct
0.500 0.065 0.301
0.500 0.699 0.935
0.500 0.500 0.500
0.000 0.776 0.224
0.500 0.301 0.065
0.000 0.224 0.776
0.500 0.935 0.699
0.000 0.000 0.000
0.500 0.696 0.304
0.500 0.304 0.696

[5]
GGA-PBE PrSmCd, relaxed; distance to the lowest polymorph of the same formula = 141 meV per atom; E_form = -0.2 eV per formula unit; volume = 183 Å³/cell; total magnetic moment = 0.00 Bohr magnetons per cell
1.0
-0.103 3.201 1.188
-5.811 1.957 -5.775
-4.596 -1.656 4.064
Sm Pr Cd
2 2 2
Direct
0.000 0.886 0.250
0.000 0.114 0.750
0.000 0.500 0.500
0.000 0.500 0.000
0.500 0.209 0.250
0.500 0.791 0.750

[6]
GGA-PBE Pr3Sm3Cd, relaxed; distance to the lowest polymorph of the same formula = 0 meV per atom; E_form = -0.3 eV per formula unit; volume = 460 Å³/cell; total magnetic moment = 0.00 Bohr magnetons per cell
1.0
5.712 0.000 0.000
0.000 9.643 -0.018
0.000 -4.812 8.359
Sm Pr Cd
6 6 2
Direct
0.750 0.060 0.241
0.250 0.241 0.181
0.750 0.181 0.940
0.250 0.819 0.060
0.250 0.940 0.759
0.750 0.759 0.819
0.750 0.476 0.369
0.250 0.524 0.631
0.250 0.107 0.476
0.250 0.369 0.892
0.750 0.631 0.108
0.750 0.893 0.524
0.250 0.667 0.333
0.750 0.333 0.667

[7]
GGA-PBE Pr3SmCd3, relaxed; E_form = -1.1 eV per formula unit; volume = 439 Å³/cell; total magnetic moment = 2.30 Bohr magnetons per cell
1.0
7.508 1.807 0.501
-1.727 7.527 0.501
-0.351 -0.567 7.305
Pr Cd Sm
6 6 2
Direct
0.746 0.746 0.500
0.737 0.262 0.000
0.739 0.260 0.500
0.263 0.738 0.000
0.254 0.254 0.500
0.261 0.740 0.500
0.500 0.000 0.246
0.000 0.000 0.246
0.000 0.500 0.754
0.500 0.000 0.754
0.000 0.500 0.246
0.000 0.000 0.754
0.747 0.748 0.000
0.253 0.252 0.000

[8]
GGA-PBE Pr4Sm3Cd, relaxed; E_form = 0.1 eV per formula unit; volume = 266 Å³/cell; total magnetic moment = 0.00 Bohr magnetons per cell
1.0
4.197 0.000 0.000
0.000 4.197 0.000
0.000 0.000 15.126
Pr Cd Sm
4 1 3
Direct
0.000 0.000 0.378
0.000 0.000 0.886
0.000 0.000 0.622
0.000 0.000 0.114
0.500 0.500 0.000
0.500 0.500 0.749
0.500 0.500 0.500
0.500 0.500 0.251

[9]
GGA-PBE Pr3SmCd, relaxed; distance to the lowest polymorph of the same formula = 0 meV per atom; E_form = -0.5 eV per formula unit; volume = 332 Å³/cell; total magnetic moment = 0.00 Bohr magnetons per cell
1.0
3.812 0.000 0.000
1.904 6.596 0.438
-0.001 -0.344 13.163
Sm Pr Cd
2 6 2
Direct
0.225 0.551 0.749
0.775 0.449 0.251
0.635 0.732 0.971
0.145 0.709 0.446
0.365 0.268 0.029
0.855 0.291 0.554
0.043 0.915 0.190
0.957 0.085 0.810
0.558 0.883 0.629
0.442 0.117 0.371

[10]
GGA-PBE Pr5Sm8Cd, relaxed; E_form = 1.9 eV per formula unit; volume = 490 Å³/cell; total magnetic moment = 0.00 Bohr magnetons per cell
1.0
-5.980 -4.609 -4.348
4.761 3.771 -6.249
6.045 -3.784 5.004
Sm Pr Cd
8 5 1
Direct
0.092 0.660 0.432
0.445 0.464 0.531
0.446 0.914 0.981
0.066 0.086 0.531
0.586 0.660 0.246
0.586 0.340 0.926
0.772 0.340 0.432
0.067 0.536 0.982
0.873 0.795 0.079
0.904 0.188 0.092
0.284 0.205 0.079
0.904 0.812 0.716
0.459 0.000 0.459
0.264 0.500 0.764

[11]
GGA-PBE Pr4SmCd3, relaxed; E_form = -1.4 eV per formula unit; volume = 244 Å³/cell; total magnetic moment = 0.01 Bohr magnetons per cell
1.0
-1.880 3.894 3.446
-3.690 -1.311 3.904
5.004 -1.009 8.306
Pr Sm Cd
4 1 3
Direct
0.382 0.382 0.855
0.129 0.129 0.613
0.871 0.871 0.387
0.618 0.618 0.145
0.000 0.000 0.000
0.500 0.500 0.500
0.257 0.257 0.229
0.743 0.743 0.771

[12]
GGA-PBE Pr15Sm4Cd, relaxed; E_form = -0.2 eV per formula unit; volume = 698 Å³/cell; total magnetic moment = 0.00 Bohr magnetons per cell
1.0
5.172 0.000 0.000
0.000 5.172 0.000
0.000 0.000 26.093
Sm Pr Cd
4 15 1
Direct
0.000 0.000 0.196
0.000 0.000 0.601
0.000 0.000 0.804
0.000 0.000 0.399
0.000 0.500 0.096
0.500 0.500 0.398
0.000 0.500 0.702
0.000 0.500 0.904
0.500 0.000 0.702
0.500 0.500 0.602
0.500 0.000 0.904
0.500 0.000 0.096
0.000 0.500 0.298
0.500 0.000 0.298
0.500 0.000 0.500
0.500 0.500 0.196
0.500 0.500 0.000
0.000 0.500 0.500
0.500 0.500 0.804
0.000 0.000 0.000

[13]
GGA-PBE Pr2Sm2Cd, relaxed; distance to the lowest polymorph of the same formula = 81 meV per atom; E_form = -0.2 eV per formula unit; volume = 322 Å³/cell; total magnetic moment = 0.00 Bohr magnetons per cell
1.0
-5.660 1.420 -6.483
-6.074 -1.871 -0.975
-5.809 7.236 -0.070
Pr Sm Cd
4 4 2
Direct
0.948 0.375 0.283
0.052 0.625 0.717
0.676 0.375 0.717
0.324 0.625 0.283
0.403 0.000 0.883
0.272 0.000 0.572
0.728 0.000 0.428
0.597 0.000 0.117
0.844 0.312 0.000
0.156 0.688 0.000

[14]
GGA-PBE PrSm3Cd, relaxed; distance to the lowest polymorph of the same formula = 0 meV per atom; E_form = -0.5 eV per formula unit; volume = 322 Å³/cell; total magnetic moment = 0.00 Bohr magnetons per cell
1.0
-1.107 1.199 -3.401
2.816 -4.322 -4.534
-10.103 -8.052 0.451
Sm Pr Cd
6 2 2
Direct
0.962 0.077 0.811
0.365 0.268 0.026
0.635 0.732 0.974
0.855 0.291 0.552
0.038 0.923 0.189
0.145 0.709 0.448
0.230 0.542 0.751
0.770 0.458 0.249
0.446 0.107 0.373
0.554 0.893 0.627

[15]
GGA-PBE Pr6SmCd5, relaxed; E_form = -2.7 eV per formula unit; volume = 361 Å³/cell; total magnetic moment = 0.00 Bohr magnetons per cell
1.0
-2.718 -4.739 -0.682
6.091 -2.910 -4.055
1.620 0.913 9.426
Pr Sm Cd
6 1 5
Direct
0.171 0.914 0.343
0.500 0.732 0.000
0.171 0.429 0.343
0.500 0.268 0.000
0.829 0.086 0.657
0.829 0.571 0.657
0.000 0.000 0.000
0.669 0.669 0.337
0.331 0.331 0.663
0.344 0.844 0.688
0.000 0.500 0.000
0.656 0.156 0.312

[16]
GGA-PBE Pr3Sm4Cd2, relaxed; E_form = -0.5 eV per formula unit; volume = 579 Å³/cell; total magnetic moment = 0.00 Bohr magnetons per cell
1.0
6.508 0.696 0.498
1.178 9.581 -0.713
1.178 2.412 9.299
Pr Sm Cd
6 8 4
Direct
0.458 0.840 0.940
0.958 0.940 0.840
0.250 0.522 0.478
0.750 0.478 0.522
0.042 0.060 0.160
0.542 0.160 0.060
0.489 0.836 0.297
0.989 0.297 0.836
0.011 0.703 0.164
0.838 0.869 0.513
0.338 0.513 0.869
0.162 0.131 0.487
0.511 0.164 0.703
0.662 0.487 0.131
0.860 0.628 0.793
0.140 0.372 0.207
0.640 0.207 0.372
0.360 0.793 0.628

[17]
GGA-PBE Pr4Sm3Cd2, relaxed; E_form = -0.7 eV per formula unit; volume = 289 Å³/cell; total magnetic moment = 0.00 Bohr magnetons per cell
1.0
5.093 0.000 0.000
0.000 7.794 0.539
-2.547 -3.056 7.070
Sm Cd Pr
3 2 4
Direct
0.885 0.321 0.769
0.115 0.679 0.231
0.000 0.000 0.000
0.339 0.003 0.677
0.661 0.997 0.323
0.553 0.332 0.107
0.222 0.310 0.445
0.778 0.690 0.555
0.447 0.668 0.893

[18]
GGA-PBE Pr2Sm3Cd, relaxed; distance to the lowest polymorph of the same formula = 0 meV per atom; E_form = -0.6 eV per formula unit; volume = 195 Å³/cell; total magnetic moment = 0.00 Bohr magnetons per cell
1.0
-2.622 2.311 1.164
-1.792 -2.817 1.558
7.293 2.120 12.223
Pr Sm Cd
2 3 1
Direct
0.500 0.500 0.820
0.500 0.500 0.180
0.000 0.000 0.357
0.000 0.000 0.000
0.000 0.000 0.643
0.500 0.500 0.500

[19]
GGA-PBE Pr2SmCd5, relaxed; E_form = -2.5 eV per formula unit; volume = 213 Å³/cell; total magnetic moment = 0.21 Bohr magnetons per cell
1.0
-4.316 2.800 -0.883
-2.795 -3.437 2.760
4.903 4.446 5.566
Pr Cd Sm
2 5 1
Direct
0.736 0.736 0.472
0.264 0.264 0.528
0.385 0.885 0.770
0.115 0.615 0.230
0.500 0.500 0.000
0.615 0.115 0.230
0.885 0.385 0.770
0.000 0.000 0.000

[20]
GGA-PBE Pr3Sm2Cd3, relaxed; E_form = -1.9 eV per formula unit; volume = 244 Å³/cell; total magnetic moment = 0.01 Bohr magnetons per cell
1.0
-0.908 -3.498 1.326
4.976 -1.901 -1.610
2.294 5.427 10.301
Sm Pr Cd
2 3 3
Direct
0.265 0.765 0.531
0.735 0.235 0.469
0.377 0.377 0.755
0.623 0.623 0.245
0.500 0.000 0.000
0.000 0.500 0.000
0.120 0.120 0.239
0.880 0.880 0.761

[21]
GGA-PBE Pr4SmCd2, relaxed; E_form = 0.2 eV per formula unit; volume = 458 Å³/cell; total magnetic moment = 0.00 Bohr magnetons per cell
1.0
-6.781 -4.846 -1.128
2.630 -0.539 7.971
-2.085 7.944 -1.813
Pr Cd Sm
8 4 2
Direct
0.769 0.244 0.856
0.475 0.087 0.231
0.611 0.756 0.525
0.606 0.744 0.019
0.139 0.413 0.394
0.275 0.256 0.861
0.981 0.587 0.725
0.144 0.913 0.389
0.375 0.895 0.770
0.875 0.105 0.480
0.520 0.395 0.625
0.230 0.605 0.125
0.000 0.000 0.000
0.750 0.500 0.250